Arrangement i

The following is a DFT calculation (GGA-PBE) of a relaxed structure of KFeAg2.

Output
Total magnetization, μB per formula unit: 3.06

Cell: 4.924 4.924 6.946 Å, 85.52 85.52 33.86°
Each line ends with the local moment (μB).
Fractional coordinates of all 4 atoms:
Fe  0.485  0.485  0.603  3.03
K  0.253  0.253  0.247  -0.01
Ag  0.013  0.013  0.929  0.01
Ag  0.749  0.749  0.721  0.03

Arrangement ii

The following is a DFT calculation (GGA-PBE) of a relaxed structure of KFeAg2.

Output
Total magnetization, μB per formula unit: 2.88

Cell: 5.420 5.420 2.831 Å, 90.00 90.00 90.00°
Each line ends with the local moment (μB).
Fractional coordinates of all 4 atoms:
Fe  0.500  0.000  0.500  3.02
K  0.000  0.500  0.500  -0.01
Ag  0.500  0.500  0.000  -0.01
Ag  0.000  0.000  0.000  -0.01

The most stable of them is arrangement i.

Arrangement i

The following is a DFT calculation (GGA-PBE) of a relaxed structure of KFeAg2.

Output
Total magnetization, μB per formula unit: 2.74

Cell: 2.984 2.984 9.455 Å, 90.00 90.00 89.95°
Each line ends with the local moment (μB).
Fractional coordinates of all 4 atoms:
Ag  0.000  0.000  0.045  -0.01
Ag  0.500  0.500  0.261  0.00
Fe  0.000  0.000  0.448  2.94
K  0.500  0.500  0.746  -0.04

Arrangement ii

The following is a DFT calculation (GGA-PBE) of a relaxed structure of KFeAg2.

Output
Total magnetization, μB per formula unit: 3.17

Cell: 10.132 10.132 10.132 Å, 17.53 17.53 17.53°
Each line ends with the local moment (μB).
Fractional coordinates of all 4 atoms:
Ag  0.986  0.986  0.986  0.02
Ag  0.514  0.514  0.514  0.02
K  0.750  0.750  0.750  0.01
Fe  0.250  0.250  0.250  3.08

Arrangement iii

The following is a DFT calculation (GGA-PBE) of a relaxed structure of KFeAg2.

Output
Total magnetization, μB per formula unit: 2.96

Cell: 2.933 5.437 5.278 Å, 90.00 90.00 90.00°
Each line ends with the local moment (μB).
Fractional coordinates of all 4 atoms:
Ag  0.000  0.000  0.000  0.01
Ag  0.500  0.500  0.000  0.01
K  0.000  0.500  0.500  -0.02
Fe  0.500  0.000  0.500  2.93

The most stable of them is arrangement i.